The following is a PBE calculation of an optimized crystal structure of Ac2TlAg2, from the Alexandria database.

Lattice parameters (Å, degrees): 8.439 8.439 4.293 90.00 90.00 90.00
Fractional positions:
Ac (0.179, 0.321, 0.000)
Ac (0.321, 0.821, 0.000)
Ac (0.679, 0.179, 0.000)
Ac (0.821, 0.679, 0.000)
Tl (0.000, 0.000, 0.500)
Tl (0.500, 0.500, 0.500)
Ag (0.120, 0.620, 0.500)
Ag (0.380, 0.120, 0.500)
Ag (0.620, 0.880, 0.500)
Ag (0.880, 0.380, 0.500)

Output
- SG = No. 127
- total magnetization (μB/f.u.) = 0.00
- formation energy (eV/atom) = -0.317

The following is a PBE calculation of an optimized crystal structure of CaPtSe, from the Alexandria database.

Lattice parameters (Å, degrees): 10.827 3.783 6.759 90.00 90.73 90.00
Fractional positions:
Ca (0.116, 0.000, 0.200)
Ca (0.384, 0.500, 0.800)
Ca (0.616, 0.500, 0.200)
Ca (0.884, 0.000, 0.800)
Pt (0.201, 0.000, 0.612)
Pt (0.299, 0.500, 0.388)
Pt (0.701, 0.500, 0.612)
Pt (0.799, 0.000, 0.388)
Se (0.108, 0.500, 0.819)
Se (0.392, 0.000, 0.181)
Se (0.608, 0.000, 0.819)
Se (0.892, 0.500, 0.181)

Output
- SG = No. 12
- total magnetization (μB/f.u.) = 0.00
- uncorrected formation energy (eV per atom) = -1.120

The following is a PBE calculation of an optimized crystal structure of Tb2CePrN4, from the Alexandria database.

Lattice parameters (Å, degrees): 6.158 3.563 6.165 90.00 109.30 90.00
Fractional positions:
Tb (0.000, 0.000, 0.000)
Tb (0.000, 0.500, 0.500)
Ce (0.500, 0.000, 0.500)
Pr (0.500, 0.500, 0.000)
N (0.244, 0.000, 0.738)
N (0.247, 0.500, 0.256)
N (0.753, 0.500, 0.744)
N (0.756, 0.000, 0.262)

Output
- SG = No. 10
- total magnetization (μB/f.u.) = 0.16
- uncorrected formation energy (eV per atom) = -1.521

The following is a PBE calculation of an optimized crystal structure of Cd2WSe, from the Alexandria database.

Lattice parameters (Å, degrees): 3.175 5.032 11.051 90.00 90.00 90.00
Fractional positions:
Cd (0.000, 0.000, 0.000)
Cd (0.000, 0.500, 0.253)
Cd (0.500, 0.000, 0.253)
Cd (0.500, 0.500, 0.000)
W (0.000, 0.000, 0.479)
W (0.500, 0.500, 0.479)
Se (0.000, 0.500, 0.653)
Se (0.500, 0.000, 0.653)

Output
- SG = No. 35
- total magnetization (μB/f.u.) = 0.00
- uncorrected formation energy (eV per atom) = 0.330

The following is a PBE calculation of an optimized crystal structure of Sc2InIrO8, from the Alexandria database.

Lattice parameters (Å, degrees): 4.790 4.790 6.523 90.00 90.00 91.20
Fractional positions:
Sc (0.000, 0.000, 0.243)
Sc (0.000, 0.000, 0.757)
In (0.500, 0.500, 0.000)
Ir (0.500, 0.500, 0.500)
O (0.190, 0.190, 0.000)
O (0.217, 0.217, 0.500)
O (0.308, 0.692, 0.282)
O (0.308, 0.692, 0.718)
O (0.692, 0.308, 0.282)
O (0.692, 0.308, 0.718)
O (0.783, 0.783, 0.500)
O (0.810, 0.810, 0.000)

Output
- SG = No. 65
- total magnetization (μB/f.u.) = 0.34
- uncorrected formation energy (eV per atom) = -1.928

The following is a PBE calculation of an optimized crystal structure of LaTcCSe2, from the Alexandria database.

Lattice parameters (Å, degrees): 4.737 4.737 4.548 90.00 90.00 90.00
Fractional positions:
La (0.000, 0.000, 0.000)
Tc (0.500, 0.500, 0.000)
C (0.000, 0.000, 0.500)
Se (0.000, 0.500, 0.500)
Se (0.500, 0.000, 0.500)

Output
- SG = No. 123
- total magnetization (μB/f.u.) = 3.21
- uncorrected formation energy (eV per atom) = 0.820

The following is a PBE calculation of an optimized crystal structure of Pm2ErCdO, from the Alexandria database.

Lattice parameters (Å, degrees): 4.966 4.966 4.708 90.00 90.00 90.00
Fractional positions:
Pm (0.000, 0.500, 0.000)
Pm (0.500, 0.000, 0.000)
Er (0.000, 0.000, 0.500)
Cd (0.500, 0.500, 0.500)
O (0.000, 0.000, 0.000)

Output
- SG = No. 123
- total magnetization (μB/f.u.) = 0.00
- uncorrected formation energy (eV per atom) = -1.300

The following is a PBE calculation of an optimized crystal structure of HgPbI3, from the Alexandria database.

Lattice parameters (Å, degrees): 6.228 6.228 6.228 90.00 90.00 90.00
Fractional positions:
Hg (0.000, 0.000, 0.000)
Pb (0.500, 0.500, 0.500)
I (0.000, 0.500, 0.500)
I (0.500, 0.000, 0.500)
I (0.500, 0.500, 0.000)

Output
- SG = No. 221
- total magnetization (μB/f.u.) = 0.00
- uncorrected formation energy (eV per atom) = -0.168

Look up the total magnetization of the eighth one.
0.00 μB/f.u.